(1)
{
  "formula": "Cs2GeSb",
  "functional": "PBE",
  "state": "optimized geometry",
  "energy_ev_per_cell": -22.096,
  "de_polymorph_mev_per_atom": 150,
  "raw_formation_energy_ev_per_fu": -0.60,
  "lattice_angstrom": [[-4.215, 1.697, 1.698], [2.891, -1.892, 9.067], [3.141, 7.283, 0.518]],
  "species": ["Cs", "Sb", "Cs", "Sb", "Ge", "Ge", "Cs", "Cs"],
  "fractional_positions": [[0.000, 0.794, 0.550], [0.500, 0.500, 0.394], [0.000, 0.294, 0.050], [0.500, 0.000, 0.894], [0.500, 0.000, 0.208], [0.500, 0.500, 0.708], [0.000, 0.706, 0.050], [0.000, 0.206, 0.550]]
}

(2)
{
  "formula": "PmPr4Sm2Th",
  "functional": "PBE",
  "state": "optimized geometry",
  "energy_ev_per_cell": -40.442,
  "formation_energy_ev_per_atom": 0.0356,
  "lattice_angstrom": [[3.666, 0.000, 0.000], [0.000, 6.341, -0.153], [0.000, 2.409, 11.956]],
  "species": ["Sm", "Pr", "Pr", "Pr", "Pr", "Th", "Pm", "Sm"],
  "fractional_positions": [[0.000, 0.000, 0.000], [0.000, 0.251, 0.252], [0.000, 0.749, 0.748], [0.500, 0.743, 0.254], [0.500, 0.257, 0.746], [0.000, 0.500, 0.500], [0.500, 0.500, 0.000], [0.500, 0.000, 0.500]]
}

(3)
{
  "formula": "Tb3Dy3YS8",
  "functional": "PBE",
  "state": "optimized geometry",
  "energy_ev_per_cell": -98.043,
  "raw_formation_energy_ev_per_fu": -30.86,
  "lattice_angstrom": [[7.814, 0.000, 0.000], [-3.907, 6.767, -0.023], [0.000, -4.490, 6.402]],
  "species": ["Y", "Dy", "Tb", "S", "S", "Dy", "S", "S", "Dy", "S", "S", "S", "Tb", "Tb", "S"],
  "fractional_positions": [[0.000, 0.000, 0.500], [0.500, 0.500, 0.500], [0.000, 0.500, 0.000], [0.749, 0.499, 0.748], [0.749, 0.001, 0.251], [0.000, 0.500, 0.500], [0.251, 0.999, 0.749], [0.251, 0.501, 0.749], [0.500, 0.000, 0.500], [0.251, 0.501, 0.252], [0.252, 0.001, 0.251], [0.748, 0.999, 0.749], [0.500, 0.500, 0.000], [0.000, 0.000, 0.000], [0.749, 0.499, 0.251]]
}

(4)
{
  "formula": "Pr2Dy3ThAs6",
  "functional": "PBE",
  "state": "optimized geometry",
  "energy_ev_per_cell": -76.837,
  "formation_energy_ev_per_atom": -1.5129,
  "lattice_angstrom": [[4.210, 0.000, 0.000], [0.000, 8.400, 0.320], [-2.105, -2.401, 8.827]],
  "species": ["Dy", "Pr", "Pr", "Dy", "Th", "As", "Dy", "As", "As", "As", "As", "As"],
  "fractional_positions": [[0.500, 0.500, 0.000], [0.167, 0.336, 0.335], [0.833, 0.664, 0.665], [0.168, 0.833, 0.335], [0.500, 0.000, 0.000], [0.667, 0.076, 0.335], [0.832, 0.167, 0.665], [0.997, 0.252, 0.995], [0.664, 0.590, 0.328], [0.003, 0.748, 0.005], [0.333, 0.924, 0.665], [0.336, 0.410, 0.672]]
}

(5)
{
  "formula": "Sr2CrNi",
  "functional": "PBE",
  "state": "optimized geometry",
  "energy_ev_per_cell": -17.057,
  "formation_energy_ev_per_atom": 0.4279,
  "de_polymorph_mev_per_atom": 117,
  "lattice_angstrom": [[3.540, 0.000, 0.000], [0.000, 3.540, 0.000], [0.000, 0.000, 8.850]],
  "species": ["Sr", "Sr", "Ni", "Cr"],
  "fractional_positions": [[0.000, 0.000, 0.921], [0.500, 0.500, 0.325], [0.500, 0.500, 0.667], [0.000, 0.000, 0.587]]
}

(6)
{
  "formula": "ZnW",
  "functional": "PBE",
  "state": "optimized geometry",
  "energy_ev_per_cell": -217.044,
  "formation_energy_ev_per_atom": 0.3309,
  "de_polymorph_mev_per_atom": 169,
  "lattice_angstrom": [[2.686, 0.000, 0.000], [0.000, 17.888, 0.000], [0.000, 0.000, 10.240]],
  "species": ["W", "Zn", "Zn", "W", "W", "Zn", "Zn", "Zn", "Zn", "W", "Zn", "W", "W", "W", "Zn", "Zn", "Zn", "Zn", "W", "W", "Zn", "Zn", "W", "W", "W", "W", "Zn", "W", "Zn", "Zn", "W", "W"],
  "fractional_positions": [[0.500, 0.881, 0.500], [0.250, 0.250, 0.120], [0.250, 0.250, 0.380], [0.500, 0.381, 0.000], [0.500, 0.619, 0.000], [0.000, 0.000, 0.370], [0.000, 0.500, 0.130], [0.500, 0.500, 0.630], [0.750, 0.250, 0.620], [0.250, 0.369, 0.750], [0.750, 0.750, 0.120], [0.750, 0.631, 0.750], [0.000, 0.119, 0.000], [0.750, 0.369, 0.250], [0.750, 0.250, 0.880], [0.500, 0.000, 0.130], [0.500, 0.500, 0.370], [0.250, 0.750, 0.880], [0.250, 0.869, 0.250], [0.000, 0.619, 0.500], [0.750, 0.750, 0.380], [0.000, 0.000, 0.630], [0.000, 0.881, 0.000], [0.250, 0.631, 0.250], [0.000, 0.381, 0.500], [0.250, 0.131, 0.750], [0.250, 0.750, 0.620], [0.500, 0.119, 0.500], [0.500, 0.000, 0.870], [0.000, 0.500, 0.870], [0.750, 0.869, 0.750], [0.750, 0.131, 0.250]]
}

Number 1: Fermi-level density of states 0.70 states/eV/atom, calculated volume 46.76 A^3/atom. Number 2: Fermi-level density of states 1.66 states/eV/atom, calculated volume 34.91 A^3/atom. Number 3: Fermi-level density of states 0.42 states/eV/atom, calculated volume 22.52 A^3/atom. Number 4: Fermi-level density of states 0.15 states/eV/atom, calculated volume 26.29 A^3/atom. Number 5: Fermi-level density of states 0.84 states/eV/atom, calculated volume 27.73 A^3/atom. Number 6: Fermi-level density of states 0.70 states/eV/atom, calculated volume 15.37 A^3/atom.